1.
U16N25 (GGA-PBEsol, relaxed); crystal system = trigonal; M_tot = 21.16 μB/f.u.; ΔE_f (raw) = -60.9 eV per formula unit; space group = R3, No. 146
1.0
-6.854 4.697 3.717
0.805 -8.049 4.224
1.710 1.364 8.860
N U
25 16
direct
0.526 0.263 0.474 N
0.494 0.255 0.976 N
0.767 0.528 0.500 N
0.238 0.971 0.528 N
0.267 0.500 0.971 N
0.000 0.474 0.263 N
0.243 0.480 0.492 N
0.488 0.720 0.031 N
0.734 0.000 0.000 N
0.263 0.263 0.263 N
0.470 0.976 0.769 N
0.239 0.769 0.255 N
0.006 0.527 0.730 N
0.518 0.031 0.250 N
0.732 0.747 0.249 N
0.259 0.238 0.764 N
0.986 0.004 0.747 N
0.736 0.492 0.027 N
0.982 0.249 0.004 N
0.479 0.743 0.527 N
0.763 0.027 0.480 N
0.736 0.730 0.743 N
0.023 0.764 0.998 N
0.021 0.998 0.238 N
0.768 0.250 0.720 N
0.500 0.999 0.505 U
0.005 0.505 0.496 U
0.979 0.747 0.771 U
0.727 0.978 0.766 U
0.749 0.256 0.978 U
0.020 0.249 0.231 U
0.772 0.521 0.249 U
0.494 0.766 0.256 U
0.980 0.000 0.000 U
0.251 0.231 0.521 U
0.750 0.771 0.482 U
0.501 0.496 0.999 U
0.232 0.482 0.747 U
0.521 0.254 0.727 U
0.248 0.727 0.019 U
0.267 0.019 0.254 U

2.
UN (GGA-PBEsol, relaxed); crystal system = cubic; M_tot = 1.06 μB/f.u.; ΔE_f (raw) = -2.8 eV per formula unit; space group = Fm-3m, No. 225
1.0
3.399 0.000 0.000
1.699 2.943 0.000
1.699 0.981 2.775
U N
1 1
direct
0.000 0.000 0.000 U
0.500 0.500 0.500 N

3.
ZrUN2 (GGA-PBEsol, relaxed); crystal system = trigonal; M_tot = 0.91 μB/f.u.; ΔE_f (raw) = -6.9 eV per formula unit; space group = R-3m, No. 166
1.0
3.270 0.000 0.000
1.635 2.832 0.000
1.635 0.944 5.501
Zr U N
1 1 2
direct
0.500 0.500 0.500 Zr
0.000 0.000 0.000 U
0.246 0.246 0.263 N
0.754 0.754 0.737 N

4.
V8N (GGA-PBEsol, relaxed); crystal system = tetragonal; M_tot = 0.00 μB/f.u.; ΔE_f (raw) = -3.5 eV per formula unit; space group = P4_2/mnm, No. 136
1.0
2.936 0.000 0.000
0.000 8.624 0.000
0.000 0.000 8.624
V N
16 2
direct
0.500 0.888 0.112 V
0.500 0.615 0.873 V
0.000 0.885 0.373 V
0.000 0.158 0.158 V
0.000 0.842 0.842 V
0.500 0.342 0.658 V
0.000 0.612 0.612 V
0.000 0.115 0.627 V
0.000 0.373 0.885 V
0.000 0.388 0.388 V
0.500 0.385 0.127 V
0.500 0.112 0.888 V
0.500 0.127 0.385 V
0.500 0.658 0.342 V
0.000 0.627 0.115 V
0.500 0.873 0.615 V
0.500 0.500 0.500 N
0.000 0.000 0.000 N

5.
V2N (GGA-PBEsol, relaxed); crystal system = trigonal; M_tot = 0.00 μB/f.u.; ΔE_f (raw) = -3.4 eV per formula unit; space group = P-31m, No. 162
1.0
-2.003 3.847 -1.178
-1.332 0.718 4.610
4.247 1.723 -1.595
N V
3 6
direct
0.000 0.000 0.000 N
0.500 0.333 0.667 N
0.500 0.667 0.333 N
0.753 0.000 0.336 V
0.247 0.664 0.000 V
0.247 0.000 0.664 V
0.247 0.336 0.336 V
0.753 0.664 0.664 V
0.753 0.336 0.000 V

6.
V2N3 (GGA-PBEsol, relaxed); crystal system = trigonal; M_tot = 0.00 μB/f.u.; ΔE_f (raw) = -5.0 eV per formula unit; space group = P-3m1, No. 164
1.0
-1.016 1.869 1.792
-1.723 -1.735 -1.326
0.583 -4.102 4.610
V N
2 3
direct
0.667 0.333 0.302 V
0.333 0.667 0.698 V
0.000 0.000 0.108 N
0.000 0.000 0.500 N
0.000 0.000 0.892 N

What did the fourth record say?
V8N (GGA-PBEsol, relaxed); crystal system = tetragonal; M_tot = 0.00 μB/f.u.; ΔE_f (raw) = -3.5 eV per formula unit; space group = P4_2/mnm, No. 136
1.0
2.936 0.000 0.000
0.000 8.624 0.000
0.000 0.000 8.624
V N
16 2
direct
0.500 0.888 0.112 V
0.500 0.615 0.873 V
0.000 0.885 0.373 V
0.000 0.158 0.158 V
0.000 0.842 0.842 V
0.500 0.342 0.658 V
0.000 0.612 0.612 V
0.000 0.115 0.627 V
0.000 0.373 0.885 V
0.000 0.388 0.388 V
0.500 0.385 0.127 V
0.500 0.112 0.888 V
0.500 0.127 0.385 V
0.500 0.658 0.342 V
0.000 0.627 0.115 V
0.500 0.873 0.615 V
0.500 0.500 0.500 N
0.000 0.000 0.000 N

Which value of M_tot does entry 4 give?
0.00 μB/f.u.